Computed, not measured: crystalline ErAlAg at its relaxed geometry at the GGA-PBE level of DFT.

## Properties
The volume comes out at 66.4 Å³ per cell. The value obtained for the magnetization is 0.000 Bohr magnetons per cell. For the energy of formation, the calculation gives -0.16 eV/atom. The total energy is -0.1426 hartree per atom. The space group is R3m (160).

Lattice parameters (Å, degrees): 4.156 4.156 4.156 76.14 76.14 76.14
Fractional positions:
Er1 0.034 0.034 0.034
Ag1 0.687 0.687 0.687
Al1 0.392 0.392 0.392